VASP calculation (PBE with a Hubbard U) on LiMn2OF3 after structural relaxation.

Unit cell a=10.736 b=6.350 c=5.246 alpha=90.00 beta=90.00 gamma=90.00
Space group Pnma (No. 62)
One atom of each set of equivalent atoms:
Li 0.089 0.250 0.022 [4 per cell]
Mn 0.000 0.000 0.500 [4 per cell]
Mn 0.239 0.750 0.005 [4 per cell]
O 0.086 0.250 0.666 [4 per cell]
F 0.071 0.750 0.788 [4 per cell]
F 0.167 0.021 0.217 [8 per cell]

Output
- M_tot (μB/cell) = 40.0
- N(E_F) (states/eV/atom) = 0.0000
- ΔE to the lowest computed polymorph (eV/atom) = 0.000